[1]
This record from Alexandria via LeMat-Bulk describes a relaxed FeTcOsW crystal. The functional is PBE.

Calculated values
energy: -10.65 eV/atom
size of the total moment: 3.9 μB per formula unit
symmetry: F-43m, No. 216

The structure in POSCAR format:
```
FeTcOsW
1.0
4.348 0.000 0.000
2.174 3.765 0.000
2.174 1.255 3.550
Os Tc W Fe
1 1 1 1
direct
0.750 0.750 0.750
0.250 0.250 0.250
0.000 0.000 0.000
0.500 0.500 0.500
```


[2]
This record from Alexandria via LeMat-Bulk describes a relaxed YAuSe2 crystal. The functional is PBE.

Calculated values
size of the total moment: 0.0 μB per formula unit
symmetry: R3m, No. 160
energy relative to the elements, uncorrected: -975 meV/atom

The structure in POSCAR format:
```
YAuSe2
1.0
7.688 0.081 0.050
6.441 4.198 0.050
6.441 1.951 3.718
Au Se Y
1 2 1
direct
0.736 0.736 0.736
0.049 0.049 0.049
0.222 0.222 0.222
0.493 0.493 0.493
```


[3]
This record from Alexandria via LeMat-Bulk describes a relaxed YAuCl2 crystal. The functional is PBE.

Calculated values
size of the total moment: 0.0 μB per formula unit
distance to the lowest polymorph of the same formula: 170 meV per atom
symmetry: R3m, No. 160
energy relative to the elements, uncorrected: -1285 meV/atom

The structure in POSCAR format:
```
YAuCl2
1.0
7.983 0.012 0.007
6.924 3.973 0.007
6.924 1.851 3.515
Y Au Cl
1 1 2
direct
0.493 0.493 0.493
0.757 0.757 0.757
0.024 0.024 0.024
0.226 0.226 0.226
```


[4]
This record from Alexandria via LeMat-Bulk describes a relaxed Pm5Y4Er2 crystal. The functional is PBE.

Calculated values
size of the total moment: 0.0 μB per formula unit
distance to the lowest polymorph of the same formula: 112 meV per atom
symmetry: Immm, No. 71

The structure in POSCAR format:
```
Pm5Y4Er2
1.0
3.534 0.000 0.000
0.000 9.136 0.000
-1.767 -4.568 11.792
Pm Y Er
5 4 2
direct
0.853 0.053 0.706
0.853 0.653 0.706
0.147 0.347 0.294
0.147 0.947 0.294
0.500 0.000 0.000
0.000 0.311 0.000
0.598 0.598 0.196
0.000 0.689 0.000
0.402 0.402 0.804
0.269 0.269 0.538
0.731 0.731 0.462
```


[5]
This record from Alexandria via LeMat-Bulk describes a relaxed DyHoThIn crystal. The functional is PBE.

Calculated values
energy: -4.86 eV/atom
size of the total moment: 0.3 μB per formula unit
symmetry: F-43m, No. 216

The structure in POSCAR format:
```
DyHoThIn
1.0
-5.306 -0.767 -0.991
-2.977 -3.104 3.349
-3.737 2.293 3.240
In Ho Th Dy
1 1 1 1
direct
0.250 0.250 0.250
0.000 0.000 0.000
0.750 0.750 0.750
0.500 0.500 0.500
```


[6]
This record from Alexandria via LeMat-Bulk describes a relaxed NdGaNiN crystal. The functional is PBE.

Calculated values
size of the total moment: 0.0 μB per formula unit
symmetry: P4/nmm, No. 129
energy relative to the elements, uncorrected: -792 meV/atom

The structure in POSCAR format:
```
NdGaNiN
1.0
3.723 0.000 0.000
0.000 3.723 0.000
0.000 0.000 9.099
Nd Ga Ni N
2 2 2 2
direct
0.000 0.500 0.859
0.500 0.000 0.141
0.000 0.500 0.338
0.500 0.000 0.662
0.000 0.000 0.500
0.500 0.500 0.500
0.500 0.000 0.879
0.000 0.500 0.121
```


Question: The highest size of the total moment belongs to which entry?
Answer: FeTcOsW


Question: Look up the size of the total moment of the fourth one.
Answer: 0.0 μB per formula unit